Compound: Y3CoB2
Source: the Open Quantum Materials Database
Functional: GGA-PBE
Structure: optimized geometry

Cell: 3.560 3.560 21.353 Å, 90.00 90.00 120.00°
Sites, in units of the cell vectors:
Y: 0.000 0.000 0.500
B: 0.333 0.667 0.082
Y: 0.000 0.000 0.000
Y: 0.667 0.333 0.159
B: 0.333 0.667 0.418
B: 0.667 0.333 0.918
Y: 0.667 0.333 0.341
Y: 0.333 0.667 0.841
Co: 0.000 0.000 0.250
B: 0.667 0.333 0.582
Y: 0.333 0.667 0.659
Co: 0.000 0.000 0.750

Size of the total moment in μB/f.u.: 0.74
E_tot in eV for the cell shown: -76.54